1.
Below is crystalline Hf2TaCr2 at its relaxed geometry, with properties calculated at the PBE level.

The structure belongs to space group P4/mbm (No. 127); the cell edges are 6.312, 6.312 and 4.434 Å and the angles 90.00°, 90.00° and 90.00°. The inequivalent atoms are Hf at (0.178, 0.322, 0.000), Ta at (0.000, 0.000, 0.500) and Cr at (0.121, 0.621, 0.500).

As for the total DFT energy (no corrections): -9.9912 eV/atom. As for the total magnetization: 0.0 μB per formula unit. The calculated density is 12.07 g cm⁻³. Its energy relative to the elements is 210 meV per atom.


2.
Below is crystalline Y2MgZnHg at its relaxed geometry, with properties calculated at the PBE level.

The structure belongs to space group P4/mmm (No. 123); the cell edges are 5.701, 5.701 and 4.885 Å and the angles 90.00°, 90.00° and 90.00°. The inequivalent atoms are Y at (0.000, 0.500, 0.000), Mg at (0.000, 0.000, 0.500), Zn at (0.500, 0.500, 0.500) and Hg at (0.500, 0.500, 0.000).

As for the total DFT energy (no corrections): -2.9460 eV/atom. As for the total magnetization: 0.0 μB per formula unit. The calculated density is 4.90 g cm⁻³. Its energy relative to the elements is 274 meV per atom.


3.
Below is crystalline ScNbZn2 at its relaxed geometry, with properties calculated at the PBE level.

The structure belongs to space group P4/mmm (No. 123); the cell edges are 3.184, 3.184 and 6.811 Å and the angles 90.00°, 90.00° and 90.00°. The inequivalent atoms are Sc at (0.000, 0.000, 0.000), Nb at (0.000, 0.000, 0.500) and Zn at (0.500, 0.500, 0.254).

As for the total DFT energy (no corrections): -4.8901 eV/atom. As for the total magnetization: 0.0 μB per formula unit. The calculated density is 6.46 g cm⁻³. Its energy relative to the elements is -153 meV per atom.


4.
Below is crystalline NiGe2H2 at its relaxed geometry, with properties calculated at the PBE level.

The structure belongs to space group I4/mmm (No. 139); the cell edges are 2.957, 2.957 and 11.907 Å and the angles 90.00°, 90.00° and 90.00°. The inequivalent atoms are Ni at (0.000, 0.000, 0.000), Ge at (0.000, 0.000, 0.372) and H at (0.000, 0.500, 0.250).

As for the total DFT energy (no corrections): -3.9859 eV/atom. As for the total magnetization: 0.0 μB per formula unit. The calculated density is 6.57 g cm⁻³.